A relaxed structure of Sm5TmTh. Source: the Alexandria database, functional PBE-GGA.

Computed properties:
Final energy   -34.0 eV per formula unit
Volume   243.7 Å³/f.u.
Energy of formation   0.213 eV per atom

Cell: 7.0436 10.2970 6.9821 Å, 90.00 105.73 90.00°
Space group C2/m (No. 12)
Inequivalent atoms, fractional coordinates:
Sm1 0.0000 0.0000 0.0000
Sm2 0.1897 0.2186 0.7317
Tm1 0.0000 0.5000 0.5000
Th1 0.0000 0.5000 0.0000